(1)
# ZnP2SBr

A PBEsol-optimized structure of ZnP2SBr (SCAN, Alexandria via LeMat-Bulk).

Unit cell a=4.807 b=4.807 c=4.738 alpha=90.00 beta=90.00 gamma=90.00
Space group P4/mmm (No. 123)
One atom of each set of equivalent atoms:
1 Zn 0.000 0.000 0.000 [1 per cell]
2 P 0.000 0.500 0.500 [2 per cell]
3 S 0.500 0.500 0.000 [1 per cell]
4 Br 0.500 0.500 0.500 [1 per cell]

Values from the calculation:
The raw formation energy is 1.5618 eV per atom. The calculation puts the theoretical density at 3.63 g/cm3. The total energy comes out at -11.12 eV per atom. For the density of states at the Fermi level, the calculation gives 4.3 states/eV/f.u.

---

(2)
# LiAlB14

A PBEsol-optimized structure of LiAlB14 (SCAN, Alexandria via LeMat-Bulk).

Unit cell a=5.836 b=10.298 c=8.098 alpha=90.00 beta=90.00 gamma=90.00
Space group Imma (No. 74)
One atom of each set of equivalent atoms:
1 Li 0.000 0.250 0.150 [4 per cell]
2 Al 0.250 0.250 0.750 [4 per cell]
3 B 0.000 0.085 0.671 [8 per cell]
4 B 0.000 0.150 0.881 [8 per cell]
5 B 0.000 0.166 0.469 [8 per cell]
6 B 0.159 0.062 0.336 [16 per cell]
7 B 0.249 0.080 0.544 [16 per cell]

Values from the calculation:
The calculation puts the theoretical density at 2.53 g/cm3. The total energy comes out at -7.34 eV per atom. For the density of states at the Fermi level, the calculation gives 0.0 states/eV/f.u.

---

(3)
# LaNi3H

A PBEsol-optimized structure of LaNi3H (SCAN, Alexandria via LeMat-Bulk).

Unit cell a=3.931 b=3.931 c=3.931 alpha=90.00 beta=90.00 gamma=90.00
Space group Pm-3m (No. 221)
One atom of each set of equivalent atoms:
1 La 0.000 0.000 0.000 [1 per cell]
2 Ni 0.000 0.500 0.500 [3 per cell]
3 H 0.500 0.500 0.500 [1 per cell]

Values from the calculation:
The calculation puts the theoretical density at 8.64 g/cm3. The total energy comes out at -18.98 eV per atom. For the density of states at the Fermi level, the calculation gives 1.7 states/eV/f.u.

---

(4)
# Ca2AgSe

A PBEsol-optimized structure of Ca2AgSe (SCAN, Alexandria via LeMat-Bulk).

Unit cell a=4.231 b=4.231 c=5.934 alpha=90.00 beta=90.00 gamma=90.00
Space group P4/mmm (No. 123)
One atom of each set of equivalent atoms:
1 Ca 0.000 0.000 0.000 [1 per cell]
2 Ca 0.500 0.500 0.500 [1 per cell]
3 Ag 0.000 0.000 0.500 [1 per cell]
4 Se 0.500 0.500 0.000 [1 per cell]

Values from the calculation:
The raw formation energy is -1.0796 eV per atom. The calculation puts the theoretical density at 4.17 g/cm3. The total energy comes out at -18.77 eV per atom. As for the energy above the most stable polymorph in this dataset: 39 meV per atom. For the density of states at the Fermi level, the calculation gives 1.8 states/eV/f.u.

---

(5)
# KSrCu

A PBEsol-optimized structure of KSrCu (SCAN, Alexandria via LeMat-Bulk).

Unit cell a=7.593 b=7.593 c=7.593 alpha=90.00 beta=90.00 gamma=90.00
Space group F-43m (No. 216)
One atom of each set of equivalent atoms:
1 K 0.000 0.000 0.000 [4 per cell]
2 Sr 0.250 0.250 0.750 [4 per cell]
3 Cu 0.000 0.000 0.500 [4 per cell]

Values from the calculation:
The calculation puts the theoretical density at 2.89 g/cm3. The total energy comes out at -14.64 eV per atom. For the density of states at the Fermi level, the calculation gives 1.4 states/eV/f.u.

---

(6)
# BaMn2Ni

A PBEsol-optimized structure of BaMn2Ni (SCAN, Alexandria via LeMat-Bulk).

Unit cell a=4.0682 b=4.0682 c=17.4516 alpha=90.00 beta=90.00 gamma=120.00
Space group R3m (No. 160, hexagonal axes)
One atom of each set of equivalent atoms:
1 Ba 0.0000 0.0000 0.0000 [3 per cell]
2 Mn 0.0000 0.0000 0.1840 [3 per cell]
3 Mn 0.0000 0.0000 0.5077 [3 per cell]
4 Ni 0.0000 0.0000 0.7983 [3 per cell]

Values from the calculation:
The calculation puts the theoretical density at 6.09 g/cm3. The total energy comes out at -23.00 eV per atom. As for the energy above the most stable polymorph in this dataset: 0 meV per atom. For the density of states at the Fermi level, the calculation gives 2.8 states/eV/f.u.

---

Copy entry 3 word for word.
# LaNi3H

A PBEsol-optimized structure of LaNi3H (SCAN, Alexandria via LeMat-Bulk).

Unit cell a=3.931 b=3.931 c=3.931 alpha=90.00 beta=90.00 gamma=90.00
Space group Pm-3m (No. 221)
One atom of each set of equivalent atoms:
1 La 0.000 0.000 0.000 [1 per cell]
2 Ni 0.000 0.500 0.500 [3 per cell]
3 H 0.500 0.500 0.500 [1 per cell]

Values from the calculation:
The calculation puts the theoretical density at 8.64 g/cm3. The total energy comes out at -18.98 eV per atom. For the density of states at the Fermi level, the calculation gives 1.7 states/eV/f.u.

---

- The lowest theoretical density belongs to which entry?
  LiAlB14